1.
DFT (GGA-PBEsol) results for a relaxed Y3Hg crystal.

The structure in CIF format:
```
data_Y3Hg
_chemical_formula_sum 'Y3 Hg1'
_space_group_name_H-M_alt 'P 4/m m m'
_space_group_IT_number 123
_space_group_name_Hall '-P 4 2'
_cell_length_a 3.568
_cell_length_b 3.568
_cell_length_c 8.709
_cell_angle_alpha 90.00
_cell_angle_beta 90.00
_cell_angle_gamma 90.00
loop_
_atom_site_label
_atom_site_type_symbol
_atom_site_fract_x
_atom_site_fract_y
_atom_site_fract_z
_atom_site_occupancy
Y1 Y 0.000 0.000 0.000 1
Y2 Y 0.500 0.500 0.281 1
Hg1 Hg 0.000 0.000 0.500 1
```

energy of formation = -286 meV per atom
M_tot = 0.0000 μB/atom



2.
DFT (GGA-PBEsol) results for a relaxed CsRb3S crystal.

The structure in CIF format:
```
data_CsRb3S
_chemical_formula_sum 'Cs1 Rb3 S1'
_space_group_name_H-M_alt 'P m -3 m'
_space_group_IT_number 221
_space_group_name_Hall '-P 4 2 3'
_cell_length_a 7.462
_cell_length_b 7.462
_cell_length_c 7.462
_cell_angle_alpha 90.00
_cell_angle_beta 90.00
_cell_angle_gamma 90.00
loop_
_atom_site_label
_atom_site_type_symbol
_atom_site_fract_x
_atom_site_fract_y
_atom_site_fract_z
_atom_site_occupancy
Cs1 Cs 0.000 0.000 0.000 1
Rb1 Rb 0.000 0.000 0.500 1
S1 S 0.500 0.500 0.500 1
```

formation energy from raw total energies = 2.596 eV per formula unit
M_tot = 0.0000 μB/atom



3.
DFT (GGA-PBEsol) results for a relaxed SiP2SeO crystal.

The structure in CIF format:
```
data_SiP2SeO
_chemical_formula_sum 'Si1 P2 Se1 O1'
_space_group_name_H-M_alt 'P 4/m m m'
_space_group_IT_number 123
_space_group_name_Hall '-P 4 2'
_cell_length_a 4.692
_cell_length_b 4.692
_cell_length_c 3.319
_cell_angle_alpha 90.00
_cell_angle_beta 90.00
_cell_angle_gamma 90.00
loop_
_atom_site_label
_atom_site_type_symbol
_atom_site_fract_x
_atom_site_fract_y
_atom_site_fract_z
_atom_site_occupancy
Si1 Si 0.000 0.000 0.000 1
P1 P 0.000 0.500 0.000 1
Se1 Se 0.500 0.500 0.500 1
O1 O 0.000 0.000 0.500 1
```

formation energy from raw total energies = -1.109 eV per formula unit
offset from the most stable computed form = 0.0 meV/atom
M_tot = 0.0000 μB/atom



4.
DFT (GGA-PBEsol) results for a relaxed CaMgIn2 crystal.

The structure in CIF format:
```
data_CaMgIn2
_chemical_formula_sum 'Ca4 Mg4 In8'
_space_group_name_H-M_alt 'F -4 3 m'
_space_group_IT_number 216
_space_group_name_Hall 'F -4 2 3'
_cell_length_a 7.381
_cell_length_b 7.381
_cell_length_c 7.381
_cell_angle_alpha 90.00
_cell_angle_beta 90.00
_cell_angle_gamma 90.00
loop_
_atom_site_label
_atom_site_type_symbol
_atom_site_fract_x
_atom_site_fract_y
_atom_site_fract_z
_atom_site_occupancy
Ca1 Ca 0.000 0.000 0.000 1
Mg1 Mg 0.250 0.250 0.750 1
In1 In 0.000 0.000 0.500 1
In2 In 0.250 0.250 0.250 1
```

energy of formation = -208 meV per atom
M_tot = 0.0000 μB/atom



5.
DFT (GGA-PBEsol) results for a relaxed HfRh crystal.

The structure in CIF format:
```
data_HfRh
_chemical_formula_sum 'Hf1 Rh1'
_space_group_name_H-M_alt 'P m -3 m'
_space_group_IT_number 221
_space_group_name_Hall '-P 4 2 3'
_cell_length_a 3.223
_cell_length_b 3.223
_cell_length_c 3.223
_cell_angle_alpha 90.00
_cell_angle_beta 90.00
_cell_angle_gamma 90.00
loop_
_atom_site_label
_atom_site_type_symbol
_atom_site_fract_x
_atom_site_fract_y
_atom_site_fract_z
_atom_site_occupancy
Hf1 Hf 0.000 0.000 0.000 1
Rh1 Rh 0.500 0.500 0.500 1
```

energy of formation = -842 meV per atom
M_tot = 0.0001 μB/atom



6.
DFT (GGA-PBEsol) results for a relaxed ErGaCo crystal.

The structure in CIF format:
```
data_ErGaCo
_chemical_formula_sum 'Er4 Ga4 Co4'
_space_group_name_H-M_alt 'P n m a'
_space_group_IT_number 62
_cell_length_a 6.543
_cell_length_b 3.982
_cell_length_c 7.547
_cell_angle_alpha 90.00
_cell_angle_beta 90.00
_cell_angle_gamma 90.00
loop_
_space_group_symop_operation_xyz
'x,y,z'
'-x,-y,-z'
'-x+1/2,-y,z+1/2'
'x+1/2,y,-z+1/2'
'x+1/2,-y+1/2,-z+1/2'
'-x+1/2,y+1/2,z+1/2'
'-x,y+1/2,-z'
'x,-y+1/2,z'
loop_
_atom_site_label
_atom_site_type_symbol
_atom_site_fract_x
_atom_site_fract_y
_atom_site_fract_z
_atom_site_occupancy
Er1 Er 0.029 0.250 0.182 1
Ga1 Ga 0.148 0.250 0.562 1
Co1 Co 0.231 0.750 0.376 1
```

energy of formation = -537 meV per atom
M_tot = 0.0001 μB/atom



DOS(E_F) / states/eV per cell: 4.4; 2.5; 2.0; 6.4; 2.0; 9.4